Crystalline Sc2CoH at its relaxed geometry, computed with GGA-PBE.

Cell lengths 2.9616, 2.9616, 6.4941 Å; angles 90.00, 90.00, 90.00 degrees
Space group P4/mmm (No. 123)
Inequivalent atoms, fractional coordinates:
Sc 0.0000 0.0000 0.2489 [2 per cell]
Co 0.5000 0.5000 0.0000 [1 per cell]
H 0.5000 0.5000 0.5000 [1 per cell]

Total energy ... -5.886 eV per atom
Volume ... 14.240 A^3/atom